# 1
# PBE-GGA CaMnFe2, relaxed
data_CaMnFe2
_chemical_formula_sum 'Ca4 Mn4 Fe8'
_cell_length_a 5.997
_cell_length_b 5.997
_cell_length_c 5.997
_cell_angle_alpha 90.00
_cell_angle_beta 90.00
_cell_angle_gamma 90.00
_space_group_name_H-M_alt 'F m -3 m'
_space_group_IT_number 225
_space_group_name_Hall '-F 4 2 3'
loop_
_atom_site_label
_atom_site_type_symbol
_atom_site_fract_x
_atom_site_fract_y
_atom_site_fract_z
Ca1 Ca 0.000 0.000 0.000
Mn1 Mn 0.000 0.000 0.500
Fe1 Fe 0.250 0.250 0.250
# raw total energy	-6.14	eV per atom
# theoretical density	6.365	g/cm3
# excess energy over the best structure of this formula in the dataset	540	meV/atom
# D(E_F)	39.9	states/eV/cell
# energy of formation from the pure elements	0.89	eV/atom

# 2
# PBE-GGA CoSe2, relaxed
data_CoSe2
_chemical_formula_sum 'Co4 Se8'
_cell_length_a 13.363
_cell_length_b 3.315
_cell_length_c 6.811
_cell_angle_alpha 90.00
_cell_angle_beta 118.61
_cell_angle_gamma 90.00
_space_group_name_H-M_alt 'C 1 m 1'
_space_group_IT_number 8
_space_group_name_Hall 'C -2y'
loop_
_atom_site_label
_atom_site_type_symbol
_atom_site_fract_x
_atom_site_fract_y
_atom_site_fract_z
Co1 Co 0.000 0.000 0.000
Co2 Co 0.123 0.500 0.351
Se1 Se 0.190 0.000 0.178
Se2 Se 0.211 0.000 0.634
Se3 Se 0.425 0.000 0.746
Se4 Se 0.480 0.500 0.308
# raw total energy	-4.82	eV per atom
# theoretical density	5.437	g/cm3
# D(E_F)	6.3	states/eV/cell
# formation energy from raw total energies	-131.7	meV per atom